The following is a DFT calculation (PBE) of a relaxed LiOsF5 crystal.

Properties
The formation energy without anion corrections is -1.997 eV per atom. For the size of the total moment, the calculation gives 2.0 μB per formula unit. The calculation puts the total energy at -5.2114 eV per atom. Its volume is 14.49 A^3/atom.

Geometry as CIF:
```
data_LiOsF5
_chemical_formula_sum 'Li4 Os4 F20'
_space_group_name_H-M_alt 'C 1 2/c 1'
_space_group_IT_number 15
_space_group_name_Hall '-C 2yc'
_cell_length_a 8.203
_cell_length_b 7.273
_cell_length_c 7.717
_cell_angle_alpha 90.00
_cell_angle_beta 118.23
_cell_angle_gamma 90.00
loop_
_atom_site_label
_atom_site_fract_x
_atom_site_fract_y
_atom_site_fract_z
_atom_site_occupancy
Li1 0.000 0.078 0.250 1
Os1 0.000 0.500 0.000 1
F1 0.000 0.424 0.750 1
F2 0.035 0.241 0.458 1
F3 0.234 0.039 0.855 1
```